A plane-wave DFT calculation with GGA+U was carried out for crystalline VNiP2O at its relaxed geometry.

Lattice parameters (Å, degrees): 4.724 4.724 3.569 90.00 90.00 90.00
Positions (direct):
V: 0.000 0.000 0.000
O: 0.000 0.000 0.500
Ni: 0.500 0.500 0.500
P: 0.000 0.500 0.000
P: 0.500 0.000 0.000

Calculated values
Energy above the most stable polymorph in this dataset (eV per atom): 0.000
Total magnetic moment (Bohr magnetons per cell): 0.96